1.
## TaIn3Rh (PBE-GGA)

Data for an optimized crystal structure of TaIn3Rh.

Calculated total energy: -21.17 eV per cell
ΔH_f (0 K): 603 kJ/mol of formula units
Space-group type: No. 221
Density of states at the Fermi level: 1.055 states/eV/atom

Cell lengths 5.307, 5.307, 5.307 Å; angles 90.00, 90.00, 90.00 degrees
Sites, in units of the cell vectors:
Ta  0.000  0.000  0.000
In  0.000  0.000  0.500
In  0.000  0.500  0.000
In  0.500  0.000  0.000
Rh  0.500  0.500  0.500

---

2.
## Pr2HgTe (PBE-GGA)

Data for an optimized crystal structure of Pr2HgTe.

Calculated total energy: -16.38 eV per cell
Formation energy from raw total energies: -845 meV per atom
Space-group type: No. 160
Density of states at the Fermi level: 0.703 states/eV/atom

Cell lengths 8.726, 8.726, 8.726 Å; angles 28.17, 28.17, 28.17 degrees
Sites, in units of the cell vectors:
Pr  0.000  0.000  0.000
Pr  0.172  0.172  0.172
Hg  0.419  0.419  0.419
Te  0.587  0.587  0.587

---

3.
## RbPd (PBE-GGA)

Data for an optimized crystal structure of RbPd.

Calculated total energy: -23.36 eV per cell
ΔH_f (0 K): 31 kJ/mol of formula units
Space-group type: No. 139
Density of states at the Fermi level: 0.603 states/eV/atom

Cell lengths 8.888, 8.888, 8.888 Å; angles 94.06, 94.06, 149.12 degrees
Sites, in units of the cell vectors:
Rb  0.000  0.254  0.254
Rb  0.000  0.746  0.746
Rb  0.254  0.000  0.254
Rb  0.746  0.000  0.746
Pd  0.279  0.279  0.558
Pd  0.279  0.721  0.000
Pd  0.721  0.279  0.000
Pd  0.721  0.721  0.442

---

4.
## TaAlPb2 (PBE-GGA)

Data for an optimized crystal structure of TaAlPb2.

Calculated total energy: -21.03 eV per cell
ΔH_f (0 K): 192 kJ/mol of formula units
Space-group type: No. 65
Density of states at the Fermi level: 0.515 states/eV/atom

Cell lengths 3.130, 3.130, 10.265 Å; angles 90.00, 90.00, 107.48 degrees
Sites, in units of the cell vectors:
Ta  0.000  0.000  0.000
Al  0.000  0.000  0.500
Pb  0.500  0.500  0.233
Pb  0.500  0.500  0.767

---

5.
## ZnIrOs2 (PBE-GGA)

Data for an optimized crystal structure of ZnIrOs2.

Calculated total energy: -32.20 eV per cell
ΔH_f (0 K): 38 kJ/mol of formula units
Space-group type: No. 160
Density of states at the Fermi level: 1.833 states/eV/atom

Cell lengths 8.946, 8.946, 8.946 Å; angles 17.68, 17.68, 17.68 degrees
Sites, in units of the cell vectors:
Zn  0.000  0.000  0.000
Ir  0.750  0.750  0.750
Os  0.248  0.248  0.248
Os  0.500  0.500  0.500

---

6.
## TlTcAu2 (PBE-GGA)

Data for an optimized crystal structure of TlTcAu2.

Calculated total energy: -17.12 eV per cell
ΔH_f (0 K): 210 kJ/mol of formula units
Space-group type: No. 123
Density of states at the Fermi level: 0.763 states/eV/atom

Cell lengths 4.928, 4.928, 3.149 Å; angles 90.00, 90.00, 90.00 degrees
Sites, in units of the cell vectors:
Tl  0.000  0.000  0.000
Tc  0.500  0.500  0.000
Au  0.000  0.500  0.500
Au  0.500  0.000  0.500

---

7.
## Pr3InNi (PBE-GGA)

Data for an optimized crystal structure of Pr3InNi.

Calculated total energy: -23.62 eV per cell
ΔH_f (0 K): -73 kJ/mol of formula units
Space-group type: No. 221
Density of states at the Fermi level: 1.545 states/eV/atom

Cell lengths 5.398, 5.398, 5.398 Å; angles 90.00, 90.00, 90.00 degrees
Sites, in units of the cell vectors:
Pr  0.000  0.000  0.500
Pr  0.000  0.500  0.000
Pr  0.500  0.000  0.000
In  0.500  0.500  0.500
Ni  0.000  0.000  0.000

---

8.
## Zr8Zn2Sb (PBE-GGA)

Data for an optimized crystal structure of Zr8Zn2Sb.

Calculated total energy: -76.18 eV per cell
Formation energy from raw total energies: -103 meV per atom
Space-group type: No. 12
Density of states at the Fermi level: 1.023 states/eV/atom

Cell lengths 7.606, 7.606, 4.996 Å; angles 100.24, 100.24, 116.65 degrees
Sites, in units of the cell vectors:
Zr  0.080  0.316  0.602
Zr  0.231  0.769  0.000
Zr  0.316  0.080  0.602
Zr  0.404  0.404  0.195
Zr  0.596  0.596  0.805
Zr  0.684  0.920  0.398
Zr  0.769  0.231  0.000
Zr  0.920  0.684  0.398
Zn  0.310  0.690  0.500
Zn  0.690  0.310  0.500
Sb  0.000  0.000  0.000

---

9.
## La2Al5Ga3 (PBE-GGA)

Data for an optimized crystal structure of La2Al5Ga3.

Calculated total energy: -84.12 eV per cell
ΔH_f (0 K): -426 kJ/mol of formula units
Space-group type: No. 72
Density of states at the Fermi level: 0.476 states/eV/atom

Cell lengths 8.814, 8.814, 8.814 Å; angles 103.08, 91.08, 139.02 degrees
Sites, in units of the cell vectors:
La  0.126  0.244  0.370
La  0.374  0.744  0.118
La  0.626  0.256  0.882
La  0.874  0.756  0.630
Al  0.012  0.750  0.262
Al  0.129  0.872  0.001
Al  0.250  0.750  0.500
Al  0.371  0.372  0.743
Al  0.488  0.750  0.738
Al  0.512  0.250  0.262
Al  0.629  0.628  0.257
Al  0.750  0.250  0.500
Al  0.871  0.128  0.999
Al  0.988  0.250  0.738
Ga  0.120  0.641  0.761
Ga  0.250  0.250  0.000
Ga  0.380  0.141  0.521
Ga  0.620  0.859  0.479
Ga  0.750  0.750  0.000
Ga  0.880  0.359  0.239

---

10.
## LiScTeS4 (PBE-GGA)

Data for an optimized crystal structure of LiScTeS4.

Calculated total energy: -69.46 eV per cell
Formation energy from raw total energies: -976 meV per atom
Space-group type: No. 74

Cell lengths 7.684, 7.684, 7.684 Å; angles 121.41, 119.63, 89.11 degrees
Sites, in units of the cell vectors:
Li  0.392  0.142  0.250
Li  0.608  0.858  0.750
Sc  0.000  0.000  0.500
Sc  0.000  0.500  0.000
Te  0.000  0.500  0.500
Te  0.500  0.500  0.000
S  0.222  0.742  0.480
S  0.238  0.258  0.980
S  0.239  0.241  0.502
S  0.239  0.737  0.998
S  0.761  0.263  0.002
S  0.761  0.759  0.498
S  0.762  0.742  0.020
S  0.778  0.258  0.520

---

11.
## SrSc2HgBr (PBE-GGA)

Data for an optimized crystal structure of SrSc2HgBr.

Calculated total energy: -12.70 eV per cell
Formation energy from raw total energies: 725 meV per atom
Space-group type: No. 123
Density of states at the Fermi level: 1.153 states/eV/atom

Cell lengths 6.007, 6.007, 5.659 Å; angles 90.00, 90.00, 90.00 degrees
Sites, in units of the cell vectors:
Sr  0.000  0.000  0.000
Sc  0.000  0.500  0.000
Sc  0.500  0.000  0.000
Hg  0.500  0.500  0.500
Br  0.000  0.000  0.500

---

12.
## CoTeRh3 (PBE-GGA)

Data for an optimized crystal structure of CoTeRh3.

Calculated total energy: -28.15 eV per cell
Formation energy from raw total energies: 831 meV per atom
Space-group type: No. 221
Density of states at the Fermi level: 1.065 states/eV/atom

Cell lengths 4.518, 4.518, 4.518 Å; angles 90.00, 90.00, 90.00 degrees
Sites, in units of the cell vectors:
Co  0.000  0.000  0.000
Te  0.500  0.500  0.500
Rh  0.000  0.000  0.500
Rh  0.000  0.500  0.000
Rh  0.500  0.000  0.000

---

13.
## Pu3Te5S12 (PBE-GGA)

Data for an optimized crystal structure of Pu3Te5S12.

Calculated total energy: -457.54 eV per cell
Formation energy from raw total energies: -308 meV per atom
Space-group type: No. 230
Density of states at the Fermi level: 2.293 states/eV/atom

Cell lengths 14.047, 14.047, 14.047 Å; angles 109.47, 109.47, 109.47 degrees
Sites, in units of the cell vectors:
Pu  0.125  0.250  0.375
Pu  0.125  0.375  0.750
Pu  0.250  0.375  0.125
Pu  0.250  0.875  0.625
Pu  0.375  0.125  0.250
Pu  0.375  0.750  0.125
Pu  0.625  0.250  0.875
Pu  0.625  0.875  0.750
Pu  0.750  0.125  0.375
Pu  0.750  0.625  0.875
Pu  0.875  0.625  0.250
Pu  0.875  0.750  0.625
Te  0.000  0.000  0.000
Te  0.000  0.000  0.500
Te  0.000  0.500  0.000
Te  0.000  0.500  0.500
Te  0.125  0.750  0.875
Te  0.125  0.875  0.250
Te  0.250  0.125  0.875
Te  0.250  0.625  0.375
Te  0.375  0.250  0.625
Te  0.375  0.625  0.750
Te  0.500  0.000  0.000
Te  0.500  0.000  0.500
Te  0.500  0.500  0.000
Te  0.500  0.500  0.500
Te  0.625  0.375  0.250
Te  0.625  0.750  0.375
Te  0.750  0.375  0.625
Te  0.750  0.875  0.125
Te  0.875  0.125  0.750
Te  0.875  0.250  0.125
S  0.056  0.221  0.142
S  0.056  0.335  0.914
S  0.079  0.721  0.665
S  0.079  0.858  0.414
S  0.086  0.642  0.421
S  0.086  0.944  0.665
S  0.142  0.056  0.221
S  0.142  0.586  0.921
S  0.165  0.221  0.579
S  0.165  0.444  0.586
S  0.221  0.142  0.056
S  0.221  0.579  0.165
S  0.279  0.335  0.921
S  0.279  0.444  0.358
S  0.335  0.914  0.056
S  0.335  0.921  0.279
S  0.358  0.279  0.444
S  0.358  0.579  0.914
S  0.414  0.079  0.858
S  0.414  0.835  0.556
S  0.421  0.086  0.642
S  0.421  0.835  0.779
S  0.444  0.358  0.279
S  0.444  0.586  0.165
S  0.556  0.414  0.835
S  0.556  0.642  0.721
S  0.579  0.165  0.221
S  0.579  0.914  0.358
S  0.586  0.165  0.444
S  0.586  0.921  0.142
S  0.642  0.421  0.086
S  0.642  0.721  0.556
S  0.665  0.079  0.721
S  0.665  0.086  0.944
S  0.721  0.556  0.642
S  0.721  0.665  0.079
S  0.779  0.421  0.835
S  0.779  0.858  0.944
S  0.835  0.556  0.414
S  0.835  0.779  0.421
S  0.858  0.414  0.079
S  0.858  0.944  0.779
S  0.914  0.056  0.335
S  0.914  0.358  0.579
S  0.921  0.142  0.586
S  0.921  0.279  0.335
S  0.944  0.665  0.086
S  0.944  0.779  0.858

---

14.
## CaUS3 (PBE-GGA)

Data for an optimized crystal structure of CaUS3.

Calculated total energy: -66.97 eV per cell
Formation energy from raw total energies: -1563 meV per atom
Space-group type: No. 188
Density of states at the Fermi level: 1.052 states/eV/atom

Cell lengths 7.082, 7.082, 7.119 Å; angles 90.00, 90.00, 120.00 degrees
Sites, in units of the cell vectors:
Ca  0.000  0.000  0.000
Ca  0.000  0.000  0.500
U  0.667  0.333  0.000
U  0.667  0.333  0.500
S  0.348  0.094  0.250
S  0.348  0.254  0.750
S  0.746  0.094  0.750
S  0.746  0.652  0.250
S  0.906  0.254  0.250
S  0.906  0.652  0.750

---

15.
## SrReW2 (PBE-GGA)

Data for an optimized crystal structure of SrReW2.

Calculated total energy: -36.55 eV per cell
ΔH_f (0 K): 336 kJ/mol of formula units
Space-group type: No. 12
Density of states at the Fermi level: 0.939 states/eV/atom

Cell lengths 5.299, 5.299, 5.702 Å; angles 104.19, 104.19, 34.47 degrees
Sites, in units of the cell vectors:
Sr  0.000  0.000  0.000
Re  0.500  0.500  0.500
W  0.210  0.210  0.644
W  0.790  0.790  0.356

---

16.
## ZrNpCoTc (PBE-GGA)

Data for an optimized crystal structure of ZrNpCoTc.

Calculated total energy: -39.12 eV per cell
ΔH_f (0 K): -15 kJ/mol of formula units
Space-group type: No. 216
Density of states at the Fermi level: 0.931 states/eV/atom

Cell lengths 4.650, 4.650, 4.650 Å; angles 60.00, 60.00, 60.00 degrees
Sites, in units of the cell vectors:
Zr  0.000  0.000  0.000
Np  0.500  0.500  0.500
Co  0.750  0.750  0.750
Tc  0.250  0.250  0.250

---

17.
## BeH2N (PBE-GGA)

Data for an optimized crystal structure of BeH2N.

Calculated total energy: -14.17 eV per cell
Space-group type: No. 166
Density of states at the Fermi level: 0.262 states/eV/atom

Cell lengths 6.094, 6.094, 6.094 Å; angles 22.18, 22.18, 22.18 degrees
Sites, in units of the cell vectors:
Be  0.000  0.000  0.000
H  0.141  0.141  0.141
H  0.859  0.859  0.859
N  0.500  0.500  0.500

---

18.
## K19Rb4Na6 (PBE-GGA)

Data for an optimized crystal structure of K19Rb4Na6.

Calculated total energy: -30.20 eV per cell
ΔH_f (0 K): 235 kJ/mol of formula units
Space-group type: No. 197
Density of states at the Fermi level: 0.603 states/eV/atom

Cell lengths 13.984, 13.984, 13.984 Å; angles 109.47, 109.47, 109.47 degrees
Sites, in units of the cell vectors:
K  0.000  0.000  0.000
K  0.000  0.283  0.283
K  0.000  0.717  0.717
K  0.024  0.667  0.249
K  0.226  0.643  0.976
K  0.249  0.024  0.667
K  0.283  0.000  0.283
K  0.283  0.283  0.000
K  0.333  0.357  0.583
K  0.357  0.583  0.333
K  0.417  0.774  0.751
K  0.583  0.333  0.357
K  0.643  0.976  0.226
K  0.667  0.249  0.024
K  0.717  0.000  0.717
K  0.717  0.717  0.000
K  0.751  0.417  0.774
K  0.774  0.751  0.417
K  0.976  0.226  0.643
Rb  0.000  0.000  0.351
Rb  0.000  0.351  0.000
Rb  0.351  0.000  0.000
Rb  0.649  0.649  0.649
Na  0.113  0.500  0.613
Na  0.387  0.887  0.500
Na  0.500  0.387  0.887
Na  0.500  0.613  0.113
Na  0.613  0.113  0.500
Na  0.887  0.500  0.387

---

19.
## Ba2CuMoN (PBE-GGA)

Data for an optimized crystal structure of Ba2CuMoN.

Calculated total energy: -20.07 eV per cell
Formation energy from raw total energies: 1406 meV per atom
Space-group type: No. 123
Density of states at the Fermi level: 1.283 states/eV/atom

Cell lengths 5.959, 5.959, 4.790 Å; angles 90.00, 90.00, 90.00 degrees
Sites, in units of the cell vectors:
Ba  0.000  0.500  0.000
Ba  0.500  0.000  0.000
Cu  0.000  0.000  0.000
Mo  0.000  0.000  0.500
N  0.500  0.500  0.500

---

20.
## Sr2Ca2Sn (PBE-GGA)

Data for an optimized crystal structure of Sr2Ca2Sn.

Calculated total energy: -24.25 eV per cell
ΔH_f (0 K): -73 kJ/mol of formula units
Space-group type: No. 127
Density of states at the Fermi level: 1.040 states/eV/atom

Cell lengths 8.339, 8.339, 6.088 Å; angles 90.00, 90.00, 90.00 degrees
Sites, in units of the cell vectors:
Sr  0.171  0.329  0.000
Sr  0.329  0.829  0.000
Sr  0.671  0.171  0.000
Sr  0.829  0.671  0.000
Ca  0.152  0.652  0.500
Ca  0.348  0.152  0.500
Ca  0.652  0.848  0.500
Ca  0.848  0.348  0.500
Sn  0.000  0.000  0.500
Sn  0.500  0.500  0.500